LiSmLuTh | PBE-GGA | optimized geometry

- Crystal system: cubic
- Volume: 115.89 Å³ per cell
- Energy of formation: 0.2043 eV per atom

```
LiSmLuTh
1.0
0.000 3.870 3.870
3.870 0.000 3.870
3.870 3.870 0.000
Li Sm Lu Th
1 1 1 1
Direct
0.000 0.000 0.000
0.750 0.750 0.750
0.500 0.500 0.500
0.250 0.250 0.250
```